Record 1
# PaNb2Se5

PaNb2Se5 after structural relaxation (PBE-GGA, Alexandria via LeMat-Bulk).

Structure (CIF):
```
data_PaNb2Se5
_chemical_formula_sum 'Pa2 Nb4 Se10'
_symmetry_space_group_name_H-M 'C 1 2/m 1'
_symmetry_Int_Tables_number 12
_symmetry_space_group_name_Hall '-C 2y'
_cell_length_a 5.6976
_cell_length_b 12.5159
_cell_length_c 6.8312
_cell_angle_alpha 90.00
_cell_angle_beta 94.57
_cell_angle_gamma 90.00
loop_
_atom_site_label
_atom_site_type_symbol
_atom_site_fract_x
_atom_site_fract_y
_atom_site_fract_z
Pa1 Pa 0.0000 0.0000 0.0000
Nb1 Nb 0.0000 0.2900 0.0000
Se1 Se 0.0000 0.5000 0.0000
Se2 Se 0.1861 0.1661 0.2598
```

Results
E	-107.0	eV/cell
calculated volume	30.3	Å³ per atom
DOS at the Fermi energy	4.49	states/eV/f.u.



Record 2
# NaSr2F6

NaSr2F6 after structural relaxation (PBE-GGA, Alexandria via LeMat-Bulk).

Structure (CIF):
```
data_NaSr2F6
_chemical_formula_sum 'Na1 Sr2 F6'
_symmetry_space_group_name_H-M 'P -3'
_symmetry_Int_Tables_number 147
_symmetry_space_group_name_Hall '-P 3'
_cell_length_a 6.3321
_cell_length_b 6.3321
_cell_length_c 3.8646
_cell_angle_alpha 90.00
_cell_angle_beta 90.00
_cell_angle_gamma 120.00
loop_
_atom_site_label
_atom_site_type_symbol
_atom_site_fract_x
_atom_site_fract_y
_atom_site_fract_z
Na1 Na 0.0000 0.0000 0.0000
Sr1 Sr 0.3333 0.6667 0.2605
F1 F 0.0861 0.3817 0.7569
```

Results
E	-44.6	eV/cell
calculated volume	14.9	Å³ per atom
DOS at the Fermi energy	12.11	states/eV/f.u.
energy above the lowest structure with this stoichiometry	4	meV per atom



Record 3
# Ba2NaCaRh

Ba2NaCaRh after structural relaxation (PBE-GGA, Alexandria via LeMat-Bulk).

Structure (CIF):
```
data_Ba2NaCaRh
_chemical_formula_sum 'Ba2 Na1 Ca1 Rh1'
_symmetry_space_group_name_H-M 'P 4/m m m'
_symmetry_Int_Tables_number 123
_symmetry_space_group_name_Hall '-P 4 2'
_cell_length_a 6.1597
_cell_length_b 6.1597
_cell_length_c 5.6596
_cell_angle_alpha 90.00
_cell_angle_beta 90.00
_cell_angle_gamma 90.00
loop_
_atom_site_label
_atom_site_type_symbol
_atom_site_fract_x
_atom_site_fract_y
_atom_site_fract_z
Ba1 Ba 0.0000 0.5000 0.0000
Na1 Na 0.0000 0.0000 0.5000
Ca1 Ca 0.5000 0.5000 0.5000
Rh1 Rh 0.5000 0.5000 0.0000
```

Results
E	-15.3	eV/cell
calculated volume	42.9	Å³ per atom
DOS at the Fermi energy	3.46	states/eV/f.u.
energy above the lowest structure with this stoichiometry	0	meV per atom



Record 4
# HoThCo2P2

HoThCo2P2 after structural relaxation (PBE-GGA, Alexandria via LeMat-Bulk).

Structure (CIF):
```
data_HoThCo2P2
_chemical_formula_sum 'Ho1 Th1 Co2 P2'
_symmetry_space_group_name_H-M 'P -3 m 1'
_symmetry_Int_Tables_number 164
_symmetry_space_group_name_Hall '-P 3 2"'
_cell_length_a 3.8953
_cell_length_b 3.8953
_cell_length_c 7.9069
_cell_angle_alpha 90.00
_cell_angle_beta 90.00
_cell_angle_gamma 120.00
loop_
_atom_site_label
_atom_site_type_symbol
_atom_site_fract_x
_atom_site_fract_y
_atom_site_fract_z
Ho1 Ho 0.0000 0.0000 0.0000
Th1 Th 0.0000 0.0000 0.5000
Co1 Co 0.3333 0.6667 0.2605
P1 P 0.3333 0.6667 0.7682
```

Results
E	-43.7	eV/cell
calculated volume	17.3	Å³ per atom
DOS at the Fermi energy	6.46	states/eV/f.u.